Bi12PO20 | meta-GGA SCAN | single point on PBEsol structure

Output
VASP energy	-1120.4	eV/cell
symmetry	I23 (197)
E_form (uncorrected)	-1.285	eV per atom

a = 8.758 Å, b = 8.758 Å, c = 8.758 Å
α = 109.47°, β = 109.47°, γ = 109.47°
Element x y z (fractional)
Bi: 0.150 0.846 0.345
Bi: 0.154 0.304 0.499
Bi: 0.195 0.696 0.850
Bi: 0.304 0.499 0.154
Bi: 0.345 0.150 0.846
Bi: 0.499 0.154 0.304
Bi: 0.501 0.805 0.655
Bi: 0.655 0.501 0.805
Bi: 0.696 0.850 0.195
Bi: 0.805 0.655 0.501
Bi: 0.846 0.345 0.150
Bi: 0.850 0.195 0.696
P: 0.000 0.000 0.000
O: 0.000 0.000 0.405
O: 0.000 0.000 0.822
O: 0.000 0.405 0.000
O: 0.000 0.822 0.000
O: 0.125 0.362 0.749
O: 0.178 0.178 0.178
O: 0.237 0.875 0.625
O: 0.251 0.613 0.375
O: 0.362 0.749 0.125
O: 0.375 0.251 0.613
O: 0.387 0.638 0.763
O: 0.405 0.000 0.000
O: 0.595 0.595 0.595
O: 0.613 0.375 0.251
O: 0.625 0.237 0.875
O: 0.638 0.763 0.387
O: 0.749 0.125 0.362
O: 0.763 0.387 0.638
O: 0.822 0.000 0.000
O: 0.875 0.625 0.237

---

BiP2O2 | meta-GGA SCAN | single point on PBEsol structure

Output
excess energy over the best structure of this formula in the dataset	810	meV/atom
VASP energy	-109.6	eV/cell
symmetry	P4/mmm (123)
E_form (uncorrected)	0.456	eV per atom

a = 4.030 Å, b = 4.030 Å, c = 5.635 Å
α = 90.00°, β = 90.00°, γ = 90.00°
Element x y z (fractional)
Bi: 0.000 0.000 0.000
P: 0.000 0.000 0.500
P: 0.500 0.500 0.500
O: 0.000 0.500 0.000
O: 0.500 0.000 0.000

---

Bi11PO20 | meta-GGA SCAN | single point on PBEsol structure

Output
VASP energy	-1038.1	eV/cell
symmetry	P1 (1)
E_form (uncorrected)	-1.210	eV per atom

a = 8.622 Å, b = 8.744 Å, c = 8.838 Å
α = 108.22°, β = 109.83°, γ = 109.46°
Element x y z (fractional)
Bi: 0.000 0.000 0.000
Bi: 0.028 0.369 0.666
Bi: 0.166 0.519 0.353
Bi: 0.244 0.960 0.730
Bi: 0.301 0.206 0.483
Bi: 0.376 0.457 0.097
Bi: 0.627 0.027 0.659
Bi: 0.666 0.211 0.178
Bi: 0.718 0.571 0.545
Bi: 0.815 0.872 0.350
Bi: 0.879 0.544 0.999
P: 0.492 0.731 0.846
O: 0.087 0.962 0.230
O: 0.100 0.303 0.447
O: 0.147 0.556 0.096
O: 0.158 0.126 0.629
O: 0.261 0.089 0.982
O: 0.278 0.344 0.257
O: 0.299 0.739 0.784
O: 0.320 0.920 0.513
O: 0.441 0.540 0.834
O: 0.539 0.134 0.876
O: 0.559 0.720 0.357
O: 0.559 0.751 0.707
O: 0.645 0.464 0.227
O: 0.649 0.886 0.043
O: 0.753 0.329 0.728
O: 0.779 0.093 0.483
O: 0.887 0.321 0.124
O: 0.891 0.455 0.488
O: 0.924 0.712 0.855
O: 0.936 0.821 0.592

---

BiP2O7 | meta-GGA SCAN | single point on PBEsol structure

Output
excess energy over the best structure of this formula in the dataset	5	meV/atom
VASP energy	-649.6	eV/cell
symmetry	P2_1/c (14)
E_form (uncorrected)	-1.940	eV per atom

a = 7.526 Å, b = 8.749 Å, c = 10.071 Å
α = 90.00°, β = 110.73°, γ = 90.00°
Element x y z (fractional)
Bi: 0.241 0.004 0.247
Bi: 0.241 0.496 0.747
Bi: 0.759 0.504 0.253
Bi: 0.759 0.996 0.753
P: 0.181 0.703 0.439
P: 0.181 0.797 0.939
P: 0.420 0.245 0.541
P: 0.420 0.255 0.041
P: 0.580 0.745 0.959
P: 0.580 0.755 0.459
P: 0.819 0.203 0.061
P: 0.819 0.297 0.561
O: 0.056 0.588 0.334
O: 0.056 0.912 0.834
O: 0.141 0.628 0.896
O: 0.141 0.872 0.396
O: 0.183 0.691 0.591
O: 0.183 0.809 0.091
O: 0.290 0.141 0.076
O: 0.290 0.359 0.576
O: 0.330 0.211 0.381
O: 0.330 0.289 0.881
O: 0.388 0.660 0.437
O: 0.388 0.840 0.937
O: 0.469 0.102 0.633
O: 0.469 0.398 0.133
O: 0.531 0.602 0.867
O: 0.531 0.898 0.367
O: 0.612 0.160 0.063
O: 0.612 0.340 0.563
O: 0.670 0.711 0.119
O: 0.670 0.789 0.619
O: 0.710 0.641 0.424
O: 0.710 0.859 0.924
O: 0.817 0.191 0.909
O: 0.817 0.309 0.409
O: 0.859 0.128 0.604
O: 0.859 0.372 0.104
O: 0.944 0.088 0.166
O: 0.944 0.412 0.666

---

BiPO4 | meta-GGA SCAN | single point on PBEsol structure

Output
VASP energy	-378.7	eV/cell
symmetry	P3_121 (152)
E_form (uncorrected)	-2.055	eV per atom

a = 6.985 Å, b = 6.985 Å, c = 6.410 Å
α = 90.00°, β = 90.00°, γ = 120.00°
Element x y z (fractional)
Bi: 0.000 0.519 0.167
Bi: 0.481 0.481 0.500
Bi: 0.519 0.000 0.833
P: 0.000 0.557 0.667
P: 0.443 0.443 0.000
P: 0.557 0.000 0.333
O: 0.128 0.495 0.507
O: 0.153 0.758 0.804
O: 0.242 0.395 0.137
O: 0.367 0.872 0.174
O: 0.395 0.242 0.863
O: 0.495 0.128 0.493
O: 0.505 0.633 0.841
O: 0.605 0.847 0.471
O: 0.633 0.505 0.159
O: 0.758 0.153 0.196
O: 0.847 0.605 0.529
O: 0.872 0.367 0.826

---

Bi3P2O10 | meta-GGA SCAN | single point on PBEsol structure

Output
excess energy over the best structure of this formula in the dataset	19	meV/atom
VASP energy	-345.0	eV/cell
symmetry	P1 (1)
E_form (uncorrected)	-1.745	eV per atom

a = 5.450 Å, b = 6.787 Å, c = 7.003 Å
α = 68.86°, β = 67.25°, γ = 86.87°
Element x y z (fractional)
Bi: 0.000 0.000 0.000
Bi: 0.206 0.274 0.425
Bi: 0.554 0.422 0.708
P: 0.328 0.820 0.350
P: 0.887 0.476 0.092
O: 0.110 0.942 0.464
O: 0.117 0.327 0.033
O: 0.267 0.580 0.501
O: 0.328 0.851 0.120
O: 0.364 0.160 0.692
O: 0.606 0.896 0.325
O: 0.638 0.399 0.076
O: 0.832 0.452 0.336
O: 0.852 0.196 0.742
O: 0.995 0.705 0.930

---

Bi3P2O10 | meta-GGA SCAN | single point on PBEsol structure

Output
excess energy over the best structure of this formula in the dataset	0	meV/atom
VASP energy	-690.6	eV/cell
symmetry	P-1 (2)
E_form (uncorrected)	-1.764	eV per atom

a = 6.825 Å, b = 7.577 Å, c = 8.999 Å
α = 106.61°, β = 93.64°, γ = 111.77°
Element x y z (fractional)
Bi: 0.054 0.201 0.409
Bi: 0.171 0.869 0.003
Bi: 0.326 0.303 0.826
Bi: 0.674 0.697 0.174
Bi: 0.829 0.131 0.997
Bi: 0.946 0.799 0.591
P: 0.148 0.598 0.247
P: 0.457 0.734 0.744
P: 0.543 0.266 0.256
P: 0.852 0.402 0.753
O: 0.034 0.389 0.858
O: 0.066 0.033 0.866
O: 0.130 0.652 0.421
O: 0.131 0.376 0.187
O: 0.170 0.100 0.599
O: 0.275 0.812 0.740
O: 0.357 0.151 0.327
O: 0.362 0.739 0.219
O: 0.371 0.502 0.664
O: 0.463 0.208 0.074
O: 0.537 0.792 0.926
O: 0.629 0.498 0.336
O: 0.638 0.261 0.781
O: 0.643 0.849 0.673
O: 0.725 0.188 0.260
O: 0.830 0.900 0.401
O: 0.869 0.624 0.813
O: 0.870 0.348 0.579
O: 0.934 0.967 0.134
O: 0.966 0.611 0.142

---

BiP3O9 | meta-GGA SCAN | single point on PBEsol structure

Output
VASP energy	-777.6	eV/cell
symmetry	P2_1/c (14)
E_form (uncorrected)	-2.196	eV per atom

a = 7.202 Å, b = 6.933 Å, c = 13.724 Å
α = 90.00°, β = 93.58°, γ = 90.00°
Element x y z (fractional)
Bi: 0.240 0.133 0.067
Bi: 0.240 0.367 0.567
Bi: 0.760 0.633 0.433
Bi: 0.760 0.867 0.933
P: 0.237 0.683 0.366
P: 0.237 0.817 0.866
P: 0.294 0.102 0.325
P: 0.294 0.398 0.825
P: 0.294 0.607 0.158
P: 0.294 0.893 0.658
P: 0.706 0.107 0.342
P: 0.706 0.393 0.842
P: 0.706 0.602 0.175
P: 0.706 0.898 0.675
P: 0.763 0.183 0.134
P: 0.763 0.317 0.634
O: 0.090 0.606 0.430
O: 0.090 0.894 0.930
O: 0.191 0.596 0.847
O: 0.191 0.904 0.347
O: 0.199 0.586 0.261
O: 0.199 0.914 0.761
O: 0.204 0.036 0.588
O: 0.204 0.464 0.088
O: 0.213 0.177 0.229
O: 0.213 0.323 0.729
O: 0.285 0.234 0.410
O: 0.285 0.266 0.910
O: 0.297 0.686 0.630
O: 0.297 0.814 0.130
O: 0.434 0.656 0.406
O: 0.434 0.844 0.906
O: 0.499 0.529 0.189
O: 0.499 0.971 0.689
O: 0.501 0.029 0.311
O: 0.501 0.471 0.811
O: 0.566 0.156 0.094
O: 0.566 0.344 0.594
O: 0.703 0.186 0.870
O: 0.703 0.314 0.370
O: 0.715 0.734 0.090
O: 0.715 0.766 0.590
O: 0.787 0.677 0.271
O: 0.787 0.823 0.771
O: 0.796 0.536 0.912
O: 0.796 0.964 0.412
O: 0.801 0.086 0.239
O: 0.801 0.414 0.739
O: 0.809 0.096 0.653
O: 0.809 0.404 0.153
O: 0.910 0.106 0.070
O: 0.910 0.394 0.570

---

BiP4O12 | meta-GGA SCAN | single point on PBEsol structure

Output
excess energy over the best structure of this formula in the dataset	49	meV/atom
VASP energy	-458.9	eV/cell
symmetry	C2/m (12)
E_form (uncorrected)	-2.031	eV per atom

a = 10.457 Å, b = 10.457 Å, c = 5.179 Å
α = 93.43°, β = 93.43°, γ = 68.57°
Element x y z (fractional)
Bi: 0.185 0.185 0.035
Bi: 0.815 0.815 0.965
P: 0.090 0.737 0.524
P: 0.190 0.425 0.579
P: 0.263 0.910 0.476
P: 0.425 0.190 0.579
P: 0.575 0.810 0.421
P: 0.737 0.090 0.524
P: 0.810 0.575 0.421
P: 0.910 0.263 0.476
O: 0.002 0.766 0.281
O: 0.025 0.796 0.777
O: 0.118 0.373 0.360
O: 0.157 0.405 0.849
O: 0.178 0.577 0.543
O: 0.204 0.975 0.223
O: 0.219 0.781 0.500
O: 0.234 0.998 0.719
O: 0.354 0.354 0.543
O: 0.373 0.118 0.360
O: 0.405 0.157 0.849
O: 0.423 0.822 0.457
O: 0.577 0.178 0.543
O: 0.595 0.843 0.151
O: 0.627 0.882 0.640
O: 0.646 0.646 0.457
O: 0.766 0.002 0.281
O: 0.781 0.219 0.500
O: 0.796 0.025 0.777
O: 0.822 0.423 0.457
O: 0.843 0.595 0.151
O: 0.882 0.627 0.640
O: 0.975 0.204 0.223
O: 0.998 0.234 0.719

---

BiP4O12 | meta-GGA SCAN | single point on PBEsol structure

Output
excess energy over the best structure of this formula in the dataset	0	meV/atom
VASP energy	-460.6	eV/cell
symmetry	C2/c (15)
E_form (uncorrected)	-2.080	eV per atom

a = 8.788 Å, b = 8.788 Å, c = 9.400 Å
α = 121.60°, β = 121.60°, γ = 47.98°
Element x y z (fractional)
Bi: 0.213 0.787 0.750
Bi: 0.787 0.213 0.250
P: 0.015 0.273 0.688
P: 0.273 0.015 0.188
P: 0.336 0.385 0.877
P: 0.385 0.336 0.377
P: 0.615 0.664 0.623
P: 0.664 0.615 0.123
P: 0.727 0.985 0.812
P: 0.985 0.727 0.312
O: 0.008 0.115 0.698
O: 0.026 0.247 0.521
O: 0.115 0.008 0.198
O: 0.184 0.571 0.800
O: 0.191 0.497 0.260
O: 0.203 0.299 0.844
O: 0.247 0.026 0.021
O: 0.299 0.203 0.344
O: 0.421 0.449 0.567
O: 0.429 0.816 0.700
O: 0.449 0.421 0.067
O: 0.497 0.191 0.760
O: 0.503 0.809 0.240
O: 0.551 0.579 0.933
O: 0.571 0.184 0.300
O: 0.579 0.551 0.433
O: 0.701 0.797 0.656
O: 0.753 0.974 0.979
O: 0.797 0.701 0.156
O: 0.809 0.503 0.740
O: 0.816 0.429 0.200
O: 0.885 0.992 0.802
O: 0.974 0.753 0.479
O: 0.992 0.885 0.302

---

BiP4O12 | meta-GGA SCAN | single point on PBEsol structure

Output
excess energy over the best structure of this formula in the dataset	22	meV/atom
VASP energy	-919.8	eV/cell
symmetry	C222_1 (20)
E_form (uncorrected)	-2.058	eV per atom

a = 7.703 Å, b = 7.703 Å, c = 17.510 Å
α = 90.00°, β = 90.00°, γ = 96.71°
Element x y z (fractional)
Bi: 0.024 0.406 0.146
Bi: 0.406 0.024 0.854
Bi: 0.594 0.976 0.354
Bi: 0.976 0.594 0.646
P: 0.033 0.740 0.841
P: 0.218 0.681 0.984
P: 0.260 0.967 0.659
P: 0.312 0.324 0.703
P: 0.319 0.782 0.516
P: 0.324 0.312 0.297
P: 0.330 0.670 0.250
P: 0.331 0.331 0.000
P: 0.669 0.669 0.500
P: 0.670 0.330 0.750
P: 0.676 0.688 0.797
P: 0.681 0.218 0.016
P: 0.688 0.676 0.203
P: 0.740 0.033 0.159
P: 0.782 0.319 0.484
P: 0.967 0.260 0.341
O: 0.059 0.622 0.775
O: 0.074 0.879 0.659
O: 0.079 0.640 0.916
O: 0.121 0.926 0.841
O: 0.122 0.656 0.058
O: 0.149 0.670 0.531
O: 0.156 0.646 0.210
O: 0.170 0.246 0.355
O: 0.207 0.290 0.065
O: 0.243 0.483 0.670
O: 0.246 0.170 0.645
O: 0.268 0.285 0.216
O: 0.285 0.268 0.784
O: 0.290 0.207 0.935
O: 0.330 0.851 0.969
O: 0.338 0.527 0.971
O: 0.344 0.878 0.442
O: 0.352 0.522 0.313
O: 0.354 0.844 0.290
O: 0.360 0.921 0.584
O: 0.378 0.941 0.725
O: 0.473 0.662 0.529
O: 0.478 0.648 0.187
O: 0.483 0.243 0.330
O: 0.517 0.757 0.830
O: 0.522 0.352 0.687
O: 0.527 0.338 0.029
O: 0.622 0.059 0.225
O: 0.640 0.079 0.084
O: 0.646 0.156 0.790
O: 0.648 0.478 0.813
O: 0.656 0.122 0.942
O: 0.662 0.473 0.471
O: 0.670 0.149 0.469
O: 0.710 0.793 0.435
O: 0.715 0.732 0.284
O: 0.732 0.715 0.716
O: 0.754 0.830 0.145
O: 0.757 0.517 0.170
O: 0.793 0.710 0.565
O: 0.830 0.754 0.855
O: 0.844 0.354 0.710
O: 0.851 0.330 0.031
O: 0.878 0.344 0.558
O: 0.879 0.074 0.341
O: 0.921 0.360 0.416
O: 0.926 0.121 0.159
O: 0.941 0.378 0.275